[1]
{"formula": "Li2RhAu", "functional": "meta-GGA SCAN", "state": "PBEsol geometry", "sg": "I4/mmm", "total_magnetization_mub_per_cell": 0.0, "n_ef_per_ev_fu": 1.5, "e_form_ev_per_atom": -0.334, "lattice_angstrom": [[-3.3841, -1.6752, 0.5293], [1.3472, -3.2118, -1.5518], [2.1351, 1.2648, 3.9202]], "species": ["Au", "Rh", "Li", "Li"], "frac_coords": [[0.0000, 0.0000, 0.0000], [0.5000, 0.5000, 0.0000], [0.7500, 0.2500, 0.5000], [0.2500, 0.7500, 0.5000]]}



[2]
{"formula": "SiBrCl2", "functional": "meta-GGA SCAN", "state": "PBEsol geometry", "sg": "F-43m", "e_form_raw_ev_per_atom": 0.331, "total_magnetization_mub_per_cell": 0.0, "n_ef_per_ev_fu": 2.5, "lattice_angstrom": [[4.7956, 0.0000, 0.0000], [2.3978, 4.1531, 0.0000], [2.3978, 1.3844, 3.9156]], "species": ["Br", "Cl", "Cl", "Si"], "frac_coords": [[0.5000, 0.5000, 0.5000], [0.0000, 0.0000, 0.0000], [0.7500, 0.7500, 0.7500], [0.2500, 0.2500, 0.2500]]}



[3]
{"formula": "CsAgAs2Br", "functional": "meta-GGA SCAN", "state": "PBEsol geometry", "sg": "P4/mmm", "e_form_raw_ev_per_atom": 1.119, "total_magnetization_mub_per_cell": 5.0, "n_ef_per_ev_fu": 0.5, "lattice_angstrom": [[-6.1099, 2.4808, -2.1447], [-1.6686, -6.2559, -2.4829], [-2.6147, -1.5482, 5.6581]], "species": ["Cs", "As", "As", "Br", "Ag"], "frac_coords": [[0.0000, 0.0000, 0.0000], [0.0000, 0.5000, 0.0000], [0.5000, 0.0000, 0.0000], [0.0000, 0.0000, 0.5000], [0.5000, 0.5000, 0.5000]]}



[4]
{"formula": "CsTl3Ge", "functional": "meta-GGA SCAN", "state": "PBEsol geometry", "sg": "Pm-3m", "total_magnetization_mub_per_cell": 0.0, "n_ef_per_ev_fu": 4.5, "e_form_ev_per_atom": 1.227, "lattice_angstrom": [[6.1425, 0.0000, 0.0000], [0.0000, 6.1425, 0.0000], [0.0000, 0.0000, 6.1425]], "species": ["Cs", "Tl", "Tl", "Tl", "Ge"], "frac_coords": [[0.0000, 0.0000, 0.0000], [0.0000, 0.5000, 0.0000], [0.0000, 0.0000, 0.5000], [0.5000, 0.0000, 0.0000], [0.5000, 0.5000, 0.5000]]}



[5]
{"formula": "LiSn3Bi", "functional": "meta-GGA SCAN", "state": "PBEsol geometry", "sg": "Pm-3m", "total_magnetization_mub_per_cell": 0.0, "n_ef_per_ev_fu": 2.1, "e_form_ev_per_atom": 0.249, "lattice_angstrom": [[5.0422, 0.0000, 0.0000], [0.0000, 5.0422, 0.0000], [0.0000, 0.0000, 5.0422]], "species": ["Li", "Bi", "Sn", "Sn", "Sn"], "frac_coords": [[0.0000, 0.0000, 0.0000], [0.5000, 0.5000, 0.5000], [0.0000, 0.5000, 0.0000], [0.0000, 0.0000, 0.5000], [0.5000, 0.0000, 0.0000]]}



[6]
{"formula": "TaIr2", "functional": "meta-GGA SCAN", "state": "PBEsol geometry", "sg": "Pnma", "total_magnetization_mub_per_cell": 0.0, "n_ef_per_ev_fu": 1.4, "e_form_ev_per_atom": -0.753, "lattice_angstrom": [[3.9179, 0.0000, 0.0000], [0.0000, 5.5363, 0.0000], [0.0000, 0.0000, 8.3414]], "species": ["Ir", "Ir", "Ir", "Ir", "Ir", "Ir", "Ir", "Ir", "Ta", "Ta", "Ta", "Ta"], "frac_coords": [[0.7500, 0.8858, 0.7557], [0.7500, 0.8655, 0.4205], [0.2500, 0.6345, 0.9205], [0.2500, 0.6142, 0.2557], [0.7500, 0.3858, 0.7443], [0.7500, 0.3655, 0.0795], [0.2500, 0.1345, 0.5795], [0.2500, 0.1142, 0.2443], [0.7500, 0.8504, 0.0959], [0.2500, 0.6496, 0.5959], [0.7500, 0.3504, 0.4041], [0.2500, 0.1496, 0.9041]]}



[7]
{"formula": "Mg2SiPt", "functional": "meta-GGA SCAN", "state": "PBEsol geometry", "sg": "R-3m", "e_form_raw_ev_per_atom": -0.253, "total_magnetization_mub_per_cell": 0.0, "n_ef_per_ev_fu": 1.4, "lattice_angstrom": [[-2.3818, -1.1485, -1.3686], [-0.2356, -2.9466, -0.3560], [-4.9371, -1.9545, 6.9935]], "species": ["Mg", "Mg", "Pt", "Si"], "frac_coords": [[0.2472, 0.2472, 0.2583], [0.7528, 0.7528, 0.7417], [0.5000, 0.5000, 0.5000], [0.0000, 0.0000, 0.0000]]}



[8]
{"formula": "IrOsBr", "functional": "meta-GGA SCAN", "state": "PBEsol geometry", "sg": "P3m1", "e_form_raw_ev_per_atom": 0.872, "total_magnetization_mub_per_cell": 0.0, "n_ef_per_ev_fu": 2.8, "lattice_angstrom": [[3.7215, 0.0000, 0.0000], [-1.8608, 3.2229, 0.0000], [0.0000, 0.0000, 5.0026]], "species": ["Ir", "Os", "Br"], "frac_coords": [[0.3333, 0.6667, 0.5840], [0.6667, 0.3333, 0.3818], [0.0000, 0.0000, 0.0342]]}



[9]
{"formula": "InAg3", "functional": "meta-GGA SCAN", "state": "PBEsol geometry", "sg": "Pmmm", "total_magnetization_mub_per_cell": 0.0, "n_ef_per_ev_fu": 1.2, "e_form_ev_per_atom": 0.005, "lattice_angstrom": [[-1.6220, 1.3799, -2.2575], [-1.0809, -3.4551, -1.3353], [-4.7954, 0.1364, 3.5287]], "species": ["Ag", "Ag", "Ag", "In"], "frac_coords": [[0.5000, 0.5000, 0.7410], [0.0000, 0.0000, 0.5000], [0.5000, 0.5000, 0.2590], [0.0000, 0.0000, 0.0000]]}



[10]
{"formula": "ZnCuSe", "functional": "meta-GGA SCAN", "state": "PBEsol geometry", "sg": "I4mm", "e_form_raw_ev_per_atom": 0.164, "total_magnetization_mub_per_cell": 0.0, "n_ef_per_ev_fu": 1.1, "lattice_angstrom": [[-3.2839, -1.2157, 0.3253], [0.8863, -1.5890, 3.0094], [0.2312, 4.5348, 0.2716]], "species": ["Cu", "Se", "Zn"], "frac_coords": [[0.9990, 0.9990, 0.9981], [0.3310, 0.3310, 0.6619], [0.6700, 0.6700, 0.3400]]}



[11]
{"formula": "GaAsSe2", "functional": "meta-GGA SCAN", "state": "PBEsol geometry", "sg": "R-3m", "e_form_raw_ev_per_atom": 0.079, "total_magnetization_mub_per_cell": 0.0, "n_ef_per_ev_fu": 1.4, "lattice_angstrom": [[3.6534, 0.0000, 0.0000], [1.8267, 3.1639, 0.0000], [1.8267, 1.0546, 8.5318]], "species": ["As", "Ga", "Se", "Se"], "frac_coords": [[0.5000, 0.5000, 0.5000], [0.0000, 0.0000, 0.0000], [0.8953, 0.8953, 0.3141], [0.1047, 0.1047, 0.6859]]}



[12]
{"formula": "CdCu2Pt", "functional": "meta-GGA SCAN", "state": "PBEsol geometry", "sg": "Pmm2", "total_magnetization_mub_per_cell": 0.0, "n_ef_per_ev_fu": 1.1, "e_form_ev_per_atom": -0.112, "lattice_angstrom": [[2.7915, 0.0000, 0.0000], [0.0000, 3.6870, 0.0000], [0.0000, 0.0000, 5.5328]], "species": ["Pt", "Cu", "Cu", "Cd"], "frac_coords": [[0.0000, 0.0000, 0.4778], [0.0000, 0.0000, 0.0202], [0.5000, 0.5000, 0.2425], [0.5000, 0.5000, 0.7595]]}



[13]
{"formula": "CsTlF4", "functional": "meta-GGA SCAN", "state": "PBEsol geometry", "sg": "Pbcm", "e_form_raw_ev_per_atom": -2.316, "total_magnetization_mub_per_cell": 0.0, "n_ef_per_ev_fu": 0.0, "lattice_angstrom": [[-5.5332, -0.0076, -3.4303], [-0.7075, -8.3198, 1.1597], [-4.4307, 1.3726, 7.1439]], "species": ["Cs", "Cs", "Cs", "Cs", "Tl", "Tl", "Tl", "Tl", "F", "F", "F", "F", "F", "F", "F", "F", "F", "F", "F", "F", "F", "F", "F", "F"], "frac_coords": [[0.4848, 0.8041, 0.8032], [0.5152, 0.1959, 0.3032], [0.5152, 0.3041, 0.8032], [0.4848, 0.6959, 0.3032], [0.9999, 0.0002, 0.5533], [0.0001, 0.9998, 0.0533], [0.0001, 0.5002, 0.5533], [0.9999, 0.4998, 0.0533], [0.7037, 0.9312, 0.4956], [0.2963, 0.0688, 0.9956], [0.2963, 0.4312, 0.4956], [0.7037, 0.5688, 0.9956], [0.8981, 0.9788, 0.8033], [0.1019, 0.0212, 0.3033], [0.1019, 0.4788, 0.8033], [0.8981, 0.5212, 0.3033], [0.8763, 0.2502, 0.5532], [0.1237, 0.7498, 0.0532], [0.1237, 0.7502, 0.5532], [0.8763, 0.2498, 0.0532], [0.7042, 0.5695, 0.6113], [0.2958, 0.4305, 0.1113], [0.2958, 0.0695, 0.6113], [0.7042, 0.9305, 0.1113]]}



[14]
{"formula": "CeCuGe2", "functional": "meta-GGA SCAN", "state": "PBEsol geometry", "sg": "Cmcm", "total_magnetization_mub_per_cell": 1.9, "n_ef_per_ev_fu": 3.5, "e_form_ev_per_atom": -0.638, "lattice_angstrom": [[-0.4480, -2.4440, 3.4122], [-0.9607, -3.2784, -2.4743], [7.5607, -3.6859, -1.6475]], "species": ["Ge", "Ge", "Ge", "Ge", "Cu", "Cu", "Ce", "Ce"], "frac_coords": [[0.2500, 0.5382, 0.9237], [0.7500, 0.4618, 0.0763], [0.2500, 0.2494, 0.5012], [0.7500, 0.7506, 0.4988], [0.7500, 0.3222, 0.3556], [0.2500, 0.6778, 0.6444], [0.7500, 0.1053, 0.7894], [0.2500, 0.8947, 0.2106]]}



[15]
{"formula": "YGeSb2Pt", "functional": "meta-GGA SCAN", "state": "PBEsol geometry", "sg": "P4/mmm", "e_form_raw_ev_per_atom": 1.179, "total_magnetization_mub_per_cell": 0.0, "n_ef_per_ev_fu": 4.5, "lattice_angstrom": [[5.1831, 0.0000, 0.0000], [0.0000, 5.5500, 0.0000], [0.0000, 0.0000, 5.5500]], "species": ["Y", "Sb", "Sb", "Ge", "Pt"], "frac_coords": [[0.0000, 0.0000, 0.0000], [0.0000, 0.0000, 0.5000], [0.0000, 0.5000, 0.0000], [0.5000, 0.0000, 0.0000], [0.5000, 0.5000, 0.5000]]}



[16]
{"formula": "LiZnRu2", "functional": "meta-GGA SCAN", "state": "PBEsol geometry", "sg": "Cmmm", "total_magnetization_mub_per_cell": 0.0, "n_ef_per_ev_fu": 2.8, "e_form_ev_per_atom": 0.180, "lattice_angstrom": [[2.5877, 0.0083, 0.0000], [-1.0988, 2.3428, 0.0000], [0.0000, 0.0000, 8.8285]], "species": ["Li", "Ru", "Ru", "Zn"], "frac_coords": [[0.5000, 0.5000, 0.0000], [0.0000, 0.0000, 0.2541], [0.0000, 0.0000, 0.7459], [0.5000, 0.5000, 0.5000]]}



[17]
{"formula": "Sr2TaN3", "functional": "meta-GGA SCAN", "state": "PBEsol geometry", "sg": "C2/c", "e_form_raw_ev_per_atom": -1.377, "total_magnetization_mub_per_cell": 0.0, "n_ef_per_ev_fu": 0.0, "lattice_angstrom": [[5.9826, 0.0000, 0.0148], [2.9913, 5.6009, 0.0074], [0.4893, 0.0000, 12.5005]], "species": ["Sr", "Sr", "Sr", "Sr", "Sr", "Sr", "Sr", "Sr", "Ta", "Ta", "Ta", "Ta", "N", "N", "N", "N", "N", "N", "N", "N", "N", "N", "N", "N"], "frac_coords": [[0.4591, 0.5960, 0.8591], [0.6135, 0.2313, 0.5767], [0.8448, 0.7687, 0.0767], [0.3865, 0.7687, 0.4233], [0.5409, 0.4040, 0.1409], [0.0551, 0.4040, 0.3591], [0.9449, 0.5960, 0.6409], [0.1552, 0.2313, 0.9233], [0.2345, 0.9967, 0.6638], [0.7689, 0.9967, 0.8362], [0.7655, 0.0033, 0.3362], [0.2311, 0.0033, 0.1638], [0.4980, 0.0040, 0.2500], [0.5020, 0.9960, 0.7500], [0.0870, 0.8259, 0.2500], [0.9130, 0.1741, 0.7500], [0.6710, 0.3265, 0.3757], [0.0026, 0.3265, 0.1243], [0.3290, 0.6735, 0.6243], [0.9974, 0.6735, 0.8757], [0.3849, 0.8131, 0.0400], [0.1980, 0.1869, 0.5400], [0.6151, 0.1869, 0.9600], [0.8020, 0.8131, 0.4600]]}



[18]
{"formula": "MnReW", "functional": "meta-GGA SCAN", "state": "PBEsol geometry", "sg": "I4mm", "total_magnetization_mub_per_cell": 2.5, "n_ef_per_ev_fu": 2.7, "e_form_ev_per_atom": 0.021, "lattice_angstrom": [[3.0710, 0.0000, 0.0000], [0.0000, 3.0710, 0.0000], [-1.5355, -1.5355, 4.4394]], "species": ["Mn", "Re", "W"], "frac_coords": [[0.9990, 0.9990, 0.9981], [0.6646, 0.6646, 0.3291], [0.3364, 0.3364, 0.6728]]}



[19]
{"formula": "Re2AgHg", "functional": "meta-GGA SCAN", "state": "PBEsol geometry", "sg": "Pm", "total_magnetization_mub_per_cell": 0.0, "n_ef_per_ev_fu": 2.0, "e_form_ev_per_atom": 0.550, "lattice_angstrom": [[2.8483, 0.0000, -0.0017], [0.0000, 3.9103, 0.0000], [-0.1211, 0.0000, 5.8960]], "species": ["Ag", "Hg", "Re", "Re"], "frac_coords": [[0.9924, 0.0000, 0.4998], [0.4995, 0.5000, 0.7419], [0.0394, 0.0000, 0.0399], [0.4686, 0.5000, 0.2183]]}



[20]
{"formula": "TcTeP2", "functional": "meta-GGA SCAN", "state": "PBEsol geometry", "sg": "R-3m", "e_form_raw_ev_per_atom": 0.029, "total_magnetization_mub_per_cell": 0.0, "n_ef_per_ev_fu": 1.9, "lattice_angstrom": [[3.1075, 0.0000, 0.0000], [1.5537, 2.6911, 0.0000], [1.5537, 0.8970, 8.2731]], "species": ["P", "P", "Tc", "Te"], "frac_coords": [[0.2317, 0.2317, 0.3049], [0.7683, 0.7683, 0.6951], [0.5000, 0.5000, 0.5000], [0.0000, 0.0000, 0.0000]]}



[21]
{"formula": "TaIn2Tc", "functional": "meta-GGA SCAN", "state": "PBEsol geometry", "sg": "Cmm2", "total_magnetization_mub_per_cell": 0.0, "n_ef_per_ev_fu": 2.2, "e_form_ev_per_atom": 0.212, "lattice_angstrom": [[2.9831, 0.0072, 0.0000], [-1.0956, 2.7746, 0.0000], [0.0000, 0.0000, 9.3465]], "species": ["In", "In", "Ta", "Tc"], "frac_coords": [[0.0000, 0.0000, 0.0268], [0.5000, 0.5000, 0.7336], [0.0000, 0.0000, 0.4692], [0.5000, 0.5000, 0.2704]]}



[22]
{"formula": "In3GaRe", "functional": "meta-GGA SCAN", "state": "PBEsol geometry", "sg": "Pm-3m", "total_magnetization_mub_per_cell": 3.6, "n_ef_per_ev_fu": 2.6, "e_form_ev_per_atom": 1.425, "lattice_angstrom": [[5.0559, 0.0000, 0.0000], [0.0000, 5.0559, 0.0000], [0.0000, 0.0000, 5.0559]], "species": ["Re", "Ga", "In", "In", "In"], "frac_coords": [[0.5000, 0.5000, 0.5000], [0.0000, 0.0000, 0.0000], [0.0000, 0.5000, 0.0000], [0.0000, 0.0000, 0.5000], [0.5000, 0.0000, 0.0000]]}



[23]
{"formula": "AlCu", "functional": "meta-GGA SCAN", "state": "PBEsol geometry", "sg": "Pmmn", "total_magnetization_mub_per_cell": 0.0, "n_ef_per_ev_fu": 0.4, "e_form_ev_per_atom": -0.210, "lattice_angstrom": [[-0.5170, -0.3016, -2.6554], [-4.2259, -0.7513, 0.9082], [-0.8340, 4.2973, -0.3258]], "species": ["Al", "Al", "Cu", "Cu"], "frac_coords": [[0.0000, 0.3944, 0.0000], [0.5000, 0.6056, 0.5000], [0.5000, 0.8989, 0.0000], [0.0000, 0.1011, 0.5000]]}



[24]
{"formula": "LiZnRh2", "functional": "meta-GGA SCAN", "state": "PBEsol geometry", "sg": "I-4m2", "total_magnetization_mub_per_cell": 0.8, "n_ef_per_ev_fu": 3.5, "e_form_ev_per_atom": -0.202, "lattice_angstrom": [[3.7989, 0.0000, 0.0000], [0.0000, 3.7989, 0.0000], [-1.8995, -1.8995, 3.6007]], "species": ["Zn", "Rh", "Rh", "Li"], "frac_coords": [[0.5000, 0.5000, 0.0000], [0.0000, 0.0000, 0.0000], [0.7500, 0.2500, 0.5000], [0.2500, 0.7500, 0.5000]]}



[25]
{"formula": "Y2TlPb", "functional": "meta-GGA SCAN", "state": "PBEsol geometry", "sg": "Pm", "total_magnetization_mub_per_cell": 0.0, "n_ef_per_ev_fu": 2.9, "e_form_ev_per_atom": -0.737, "lattice_angstrom": [[4.5077, 0.0000, -0.0426], [0.0000, 4.3080, 0.0000], [-2.1964, 0.0000, 5.7140]], "species": ["Pb", "Y", "Y", "Tl"], "frac_coords": [[0.2826, 0.0000, 0.4387], [0.0066, 0.0000, 0.8894], [0.7405, 0.5000, 0.3547], [0.4703, 0.5000, 0.8172]]}



[26]
{"formula": "BeCu2Mo", "functional": "meta-GGA SCAN", "state": "PBEsol geometry", "sg": "P4/mmm", "total_magnetization_mub_per_cell": 0.0, "n_ef_per_ev_fu": 2.6, "e_form_ev_per_atom": 0.238, "lattice_angstrom": [[-0.4172, -0.0088, -3.4134], [1.7684, -2.9420, -0.2085], [-3.3728, -2.0569, 0.4175]], "species": ["Be", "Cu", "Cu", "Mo"], "frac_coords": [[0.0000, 0.0000, 0.5000], [0.0000, 0.5000, 0.0000], [0.5000, 0.0000, 0.0000], [0.5000, 0.5000, 0.5000]]}



[27]
{"formula": "K2TiCl6", "functional": "meta-GGA SCAN", "state": "PBEsol geometry", "sg": "Fm-3m", "e_form_raw_ev_per_atom": -2.000, "total_magnetization_mub_per_cell": 0.0, "n_ef_per_ev_fu": 0.0, "lattice_angstrom": [[6.8615, 0.0000, 0.0000], [3.4308, 5.9423, 0.0000], [3.4308, 1.9808, 5.6024]], "species": ["K", "K", "Ti", "Cl", "Cl", "Cl", "Cl", "Cl", "Cl"], "frac_coords": [[0.2500, 0.2500, 0.2500], [0.7500, 0.7500, 0.7500], [0.0000, 0.0000, 0.0000], [0.2404, 0.7596, 0.2404], [0.7596, 0.7596, 0.2404], [0.2404, 0.2404, 0.7596], [0.7596, 0.2404, 0.7596], [0.2404, 0.7596, 0.7596], [0.7596, 0.2404, 0.2404]]}